Here is a relaxed CuMoO2F crystal from the Alexandria database. Energies are from GGA+U.

Lattice parameters (Å, degrees): 3.9943 3.9943 4.1688 90.00 90.00 90.00
Sites, in units of the cell vectors:
Cu 0.0000 0.0000 0.0000
Mo 0.5000 0.5000 0.5000
O 0.0000 0.5000 0.5000
O 0.5000 0.0000 0.5000
F 0.5000 0.5000 0.0000

E_tot in eV per atom: -5.643
Volume in Å³ per cell: 67